Record 1
Density functional theory data (PBE) for a relaxed TlReAsF2 crystal.

Structure (POSCAR):
```
TlReAsF2
1.0
-1.147 4.162 -0.049
-2.418 -0.727 -5.170
-3.745 -1.011 1.894
Re Tl As F
1 1 1 2
Direct
0.500 0.500 0.500
0.000 0.000 0.000
0.000 0.500 0.000
0.000 0.000 0.500
0.500 0.000 0.000
```

Record 2
Density functional theory data (PBE) for a relaxed AsRhF3 crystal.

Structure (POSCAR):
```
AsRhF3
1.0
4.236 0.000 0.000
0.000 4.236 0.000
0.000 0.000 4.236
As Rh F
1 1 3
Direct
0.500 0.500 0.500
0.000 0.000 0.000
0.000 0.500 0.000
0.000 0.000 0.500
0.500 0.000 0.000
```

Excess energy over the best structure of this formula in the dataset   79 meV per atom

Record 3
Density functional theory data (PBE) for a relaxed AsRhF3 crystal.

Structure (POSCAR):
```
AsRhF3
1.0
4.250 0.000 0.000
0.000 4.250 0.000
0.000 0.000 4.250
As Rh F
1 1 3
Direct
0.000 0.000 0.000
0.500 0.500 0.500
0.000 0.500 0.000
0.000 0.000 0.500
0.500 0.000 0.000
```

Excess energy over the best structure of this formula in the dataset   0 meV per atom

Record 4
Density functional theory data (PBE) for a relaxed As2RhF crystal.

Structure (POSCAR):
```
As2RhF
1.0
5.291 0.000 0.000
0.000 5.291 0.000
2.645 2.645 5.984
As Rh F
4 2 2
Direct
0.643 0.125 0.250
0.107 0.625 0.250
0.375 0.357 0.750
0.875 0.893 0.750
0.000 0.000 0.000
0.750 0.250 0.500
0.500 0.500 0.000
0.250 0.750 0.500
```

Excess energy over the best structure of this formula in the dataset   154 meV per atom

| no. | raw formation energy (eV/f.u.) |
| --- | --- |
| 1 | 0.7 |
| 2 | -2.5 |
| 3 | -2.9 |
| 4 | -1.5 |